1.
First-principles (PBE) data for crystalline Sm2Zn5CuRu2 at its relaxed geometry, as listed in the Alexandria database.

Cell and atoms, written as POSCAR:
```
Sm2Zn5CuRu2
1.0
10.178 0.000 0.000
0.000 10.178 0.000
0.000 0.000 3.406
Sm Zn Cu Ru
4 10 2 4
Direct
0.181 0.319 0.000
0.319 0.819 0.000
0.681 0.181 0.000
0.819 0.681 0.000
0.000 0.500 0.500
0.052 0.813 0.500
0.187 0.052 0.500
0.313 0.552 0.500
0.448 0.313 0.500
0.500 0.000 0.500
0.552 0.687 0.500
0.687 0.448 0.500
0.813 0.948 0.500
0.948 0.187 0.500
0.000 0.000 0.000
0.500 0.500 0.000
0.132 0.632 0.000
0.368 0.132 0.000
0.632 0.868 0.000
0.868 0.368 0.000
```

Mass density (g/cm³): 8.410
E_tot (eV per atom): -3.9905
M_tot (μB per cell): 0.0
Calculated formation energy (kJ/mol of atoms): -14.0


2.
First-principles (PBE) data for crystalline NbCrW2 at its relaxed geometry, as listed in the Alexandria database.

Cell and atoms, written as POSCAR:
```
NbCrW2
1.0
0.000 3.143 3.143
3.143 0.000 3.143
3.143 3.143 0.000
Nb Cr W
1 1 2
Direct
0.000 0.000 0.000
0.500 0.500 0.500
0.250 0.250 0.250
0.750 0.750 0.750
```

Mass density (g/cm³): 13.702
E_tot (eV per atom): -11.3423
M_tot (μB per cell): 0.0
Calculated formation energy (kJ/mol of atoms): 5.6


3.
First-principles (PBE) data for crystalline K2Tl2Sn at its relaxed geometry, as listed in the Alexandria database.

Cell and atoms, written as POSCAR:
```
K2Tl2Sn
1.0
5.859 -3.453 0.000
5.859 3.453 0.000
-2.139 0.000 9.384
K Tl Sn
4 4 2
Direct
0.032 0.269 0.158
0.269 0.032 0.658
0.731 0.968 0.342
0.968 0.731 0.842
0.246 0.498 0.503
0.498 0.246 0.003
0.502 0.754 0.997
0.754 0.502 0.497
0.359 0.641 0.250
0.641 0.359 0.750
```

Mass density (g/cm³): 5.297
E_tot (eV per atom): -2.3215
M_tot (μB per cell): 0.0
Calculated formation energy (kJ/mol of atoms): -13.1


4.
First-principles (PBE) data for crystalline Pr6Nd2SmY3 at its relaxed geometry, as listed in the Alexandria database.

Cell and atoms, written as POSCAR:
```
Pr6Nd2SmY3
1.0
3.184 -5.518 0.000
3.184 5.518 0.000
-2.121 0.000 11.881
Pr Nd Sm Y
6 2 1 3
Direct
0.084 0.417 0.753
0.249 0.249 0.247
0.417 0.084 0.753
0.583 0.916 0.247
0.751 0.751 0.753
0.916 0.583 0.247
0.333 0.667 0.500
0.667 0.333 0.500
0.000 0.000 0.500
0.167 0.833 0.000
0.500 0.500 0.000
0.833 0.167 0.000
```

Mass density (g/cm³): 6.168
E_tot (eV per atom): -5.1839
M_tot (μB per cell): 0.0
Calculated formation energy (kJ/mol of atoms): 0.9


5.
First-principles (PBE) data for crystalline SnHg2Pd at its relaxed geometry, as listed in the Alexandria database.

Cell and atoms, written as POSCAR:
```
SnHg2Pd
1.0
1.558 0.899 11.295
-1.558 0.899 11.295
0.000 -1.799 11.295
Sn Hg Pd
1 2 1
Direct
0.000 0.000 0.000
0.420 0.420 0.420
0.580 0.580 0.580
0.500 0.500 0.500
```

Mass density (g/cm³): 10.951
E_tot (eV per atom): -2.2344
M_tot (μB per cell): 0.0
Calculated formation energy (kJ/mol of atoms): 20.8


6.
First-principles (PBE) data for crystalline Cs4BiPd2 at its relaxed geometry, as listed in the Alexandria database.

Cell and atoms, written as POSCAR:
```
Cs4BiPd2
1.0
-3.729 3.729 7.712
3.729 -3.729 7.712
3.729 3.729 -7.712
Cs Bi Pd
4 1 2
Direct
0.000 0.500 0.500
0.240 0.240 0.000
0.500 0.000 0.500
0.760 0.760 0.000
0.000 0.000 0.000
0.416 0.416 0.000
0.584 0.584 0.000
```

Mass density (g/cm³): 3.692
E_tot (eV per atom): -2.3500
M_tot (μB per cell): 0.0
Calculated formation energy (kJ/mol of atoms): 17.0


7.
First-principles (PBE) data for crystalline FeMoRu3 at its relaxed geometry, as listed in the Alexandria database.

Cell and atoms, written as POSCAR:
```
FeMoRu3
1.0
4.622 0.000 0.000
0.000 4.622 0.000
0.000 0.000 4.622
Fe Mo Ru
1 1 3
Direct
0.000 0.000 0.000
0.500 0.500 0.500
0.000 0.500 0.500
0.500 0.000 0.500
0.500 0.500 0.000
```

Mass density (g/cm³): 7.651
E_tot (eV per atom): -7.6860
M_tot (μB per cell): 5.5
Calculated formation energy (kJ/mol of atoms): 167.7


8.
First-principles (PBE) data for crystalline CrCoN2 at its relaxed geometry, as listed in the Alexandria database.

Cell and atoms, written as POSCAR:
```
CrCoN2
1.0
1.351 0.780 5.950
-1.351 0.780 5.950
0.000 -1.560 5.950
Cr Co N
1 1 2
Direct
0.000 0.000 0.000
0.500 0.500 0.500
0.399 0.399 0.399
0.601 0.601 0.601
```

Mass density (g/cm³): 6.136
E_tot (eV per atom): -8.2626
E_form (uncorrected) (kJ per mole of atoms): 7.9
M_tot (μB per cell): 1.2


- Which formula does entry 2 have?
  NbCrW2


- The lowest E_tot belongs to which entry?
  NbCrW2


- Which formula does entry 6 have?
  Cs4BiPd2


- Look up the M_tot of the third one.
  0.0 μB per cell